Below is a geometry-optimized Sm8Te4Pt3Br structure, with properties calculated at the PBE level.

a = 8.879 Å, b = 8.879 Å, c = 8.879 Å
α = 57.40°, β = 57.40°, γ = 57.40°
Atoms (fractional coordinates):
Sm 0.223 0.750 0.750
Sm 0.236 0.236 0.236
Sm 0.250 0.250 0.777
Sm 0.250 0.777 0.250
Sm 0.750 0.223 0.750
Sm 0.750 0.750 0.223
Sm 0.764 0.764 0.764
Sm 0.777 0.250 0.250
Te 0.000 0.000 0.000
Te 0.000 0.500 0.500
Te 0.500 0.000 0.500
Te 0.500 0.500 0.000
Pt 0.000 0.000 0.500
Pt 0.000 0.500 0.000
Pt 0.500 0.000 0.000
Br 0.500 0.500 0.500

Summary:
M_tot: 0.00 μB/f.u.
V: 465.4 Å³/cell
E_form (uncorrected): -1965 kJ/mol of formula units